Density functional theory data (GGA-PBE) for an optimized crystal structure of NaNpI2O8.

Geometry as extended XYZ:
```
12
Lattice="6.575 -2.794 0.000 6.575 2.794 0.000 -1.677 0.000 5.206" Properties=species:S:1:pos:R:3 pbc="T T T"
Na 0.000 0.000 0.000
Np 5.736 0.000 2.603
I 2.320 0.000 4.209
I 9.153 0.000 0.997
O 4.403 1.317 2.964
O 2.537 0.000 0.131
O 7.070 1.317 2.242
O 5.280 0.000 0.319
O 6.193 0.000 4.887
O 4.403 -1.317 2.964
O 8.935 0.000 5.075
O 7.070 -1.317 2.242
```

Properties
The calculation puts the raw formation energy at -1.194 eV per atom.



Density functional theory data (GGA-PBE) for an optimized crystal structure of LiGdPb.

Geometry as extended XYZ:
```
3
Lattice="-2.084 2.084 4.617 2.084 -2.084 4.617 2.084 2.084 -4.617" Properties=species:S:1:pos:R:3 pbc="T T T"
Li 0.000 0.000 0.000
Gd 0.000 0.000 3.053
Pb 0.000 0.000 6.188
```

Properties
The energy of formation is -201 meV per atom.



Density functional theory data (GGA-PBE) for an optimized crystal structure of K2Rb6O.

Geometry as extended XYZ:
```
9
Lattice="4.640 2.679 8.021 -4.640 2.679 8.021 0.000 -5.357 8.021" Properties=species:S:1:pos:R:3 pbc="T T T"
K 0.000 0.000 0.000
K 0.000 0.000 4.513
Rb -2.694 -1.555 11.569
Rb 0.000 -2.228 15.990
Rb -1.930 1.114 15.990
Rb 2.694 -1.555 11.569
Rb 0.000 3.110 11.569
Rb 1.930 1.114 15.990
O 0.000 0.000 17.768
```

Properties
The calculation puts the raw formation energy at -0.269 eV per atom.



Density functional theory data (GGA-PBE) for an optimized crystal structure of DyThGaTc.

Geometry as extended XYZ:
```
4
Lattice="0.000 3.572 3.572 3.572 0.000 3.572 3.572 3.572 0.000" Properties=species:S:1:pos:R:3 pbc="T T T"
Dy 0.000 0.000 0.000
Th 3.572 3.572 3.572
Ga 1.786 1.786 1.786
Tc 5.358 5.358 5.358
```

Properties
The energy of formation is -232 meV per atom.



Density functional theory data (GGA-PBE) for an optimized crystal structure of Pm5PrRh6.

Geometry as extended XYZ:
```
12
Lattice="7.942 -3.469 0.000 7.942 3.469 0.000 -1.582 0.000 4.773" Properties=species:S:1:pos:R:3 pbc="T T T"
Pm 0.000 0.000 0.000
Pm 1.591 0.000 3.180
Pm 4.759 0.000 1.590
Pm 9.543 0.000 3.183
Pm 12.712 0.000 1.594
Pr 7.942 0.000 0.000
Rh 3.956 1.745 3.974
Rh 7.151 1.756 2.387
Rh 10.347 1.745 0.799
Rh 3.956 -1.745 3.974
Rh 7.151 -1.756 2.387
Rh 10.347 -1.745 0.799
```

Properties
The energy of formation is -670 meV per atom.



Density functional theory data (GGA-PBE) for an optimized crystal structure of AlSi2Au.

Geometry as extended XYZ:
```
8
Lattice="-2.989 2.989 5.047 2.989 -2.989 5.047 2.989 2.989 -5.047" Properties=species:S:1:pos:R:3 pbc="T T T"
Al 0.000 0.000 0.000
Al 0.000 2.989 2.523
Si 1.495 -1.450 3.785
Si 1.540 1.495 1.262
Si 1.495 4.439 -1.262
Si 1.450 1.495 6.308
Au 2.989 0.000 2.523
Au 0.000 0.000 5.047
```

Properties
The calculation puts the raw formation energy at 0.347 eV per atom.



Density functional theory data (GGA-PBE) for an optimized crystal structure of Ho4AlIn.

Geometry as extended XYZ:
```
6
Lattice="6.970 -1.740 0.000 6.970 1.740 0.000 -1.736 0.000 6.746" Properties=species:S:1:pos:R:3 pbc="T T T"
Ho 1.538 0.000 2.238
Ho 0.719 0.000 5.538
Ho 11.485 0.000 1.207
Ho 10.666 0.000 4.507
Al 6.102 0.000 3.373
In 6.970 0.000 0.000
```

Properties
The energy of formation is -276 meV per atom.



Density functional theory data (GGA-PBE) for an optimized crystal structure of ReBSeBr2.

Geometry as extended XYZ:
```
5
Lattice="4.418 0.000 0.000 0.000 4.418 0.000 0.000 0.000 4.468" Properties=species:S:1:pos:R:3 pbc="T T T"
Re 0.000 0.000 0.000
B 2.209 2.209 2.234
Se 2.209 2.209 0.000
Br 0.000 2.209 2.234
Br 2.209 0.000 2.234
```

Properties
The calculation puts the raw formation energy at 1.625 eV per atom.



Density functional theory data (GGA-PBE) for an optimized crystal structure of KSr2Mg.

Geometry as extended XYZ:
```
4
Lattice="2.138 1.234 12.918 -2.138 1.234 12.918 0.000 -2.469 12.918" Properties=species:S:1:pos:R:3 pbc="T T T"
K 0.000 0.000 0.000
Sr 0.000 0.000 9.078
Sr 0.000 0.000 29.677
Mg 0.000 0.000 19.377
```

Properties
The energy of formation is 107 meV per atom.



Density functional theory data (GGA-PBE) for an optimized crystal structure of Cs2NdGe2S6.

Geometry as extended XYZ:
```
11
Lattice="6.391 -3.691 0.000 6.391 3.691 0.000 -4.240 0.000 7.898" Properties=species:S:1:pos:R:3 pbc="T T T"
Cs 2.129 0.000 1.179
Cs 6.414 0.000 6.718
Nd -2.120 0.000 3.949
Ge 2.155 0.000 5.404
Ge 6.388 0.000 2.494
S 0.000 0.000 5.828
S 3.230 1.863 5.848
S 5.312 1.863 2.050
S 3.230 -1.863 5.848
S 5.312 -1.863 2.050
S 8.543 0.000 2.069
```

Properties
The calculation puts the raw formation energy at -0.906 eV per atom.



Density functional theory data (GGA-PBE) for an optimized crystal structure of LiYTaBr2.

Geometry as extended XYZ:
```
5
Lattice="5.369 0.000 0.000 0.000 5.369 0.000 0.000 0.000 6.697" Properties=species:S:1:pos:R:3 pbc="T T T"
Li 0.000 0.000 0.000
Y 0.000 0.000 3.349
Ta 2.684 2.684 0.000
Br 0.000 2.684 3.349
Br 2.684 0.000 3.349
```

Properties
The calculation puts the raw formation energy at 0.712 eV per atom.



Density functional theory data (GGA-PBE) for an optimized crystal structure of LaTb3YHo.

Geometry as extended XYZ:
```
12
Lattice="8.028 0.000 0.000 0.000 5.094 0.000 -3.213 0.000 9.612" Properties=species:S:1:pos:R:3 pbc="T T T"
La 0.385 1.273 2.809
La 4.430 3.820 6.804
Tb -1.192 1.273 7.608
Tb 1.214 3.820 0.395
Tb -0.388 3.820 5.222
Tb 5.203 1.273 4.390
Tb 3.601 1.273 9.218
Tb 6.007 3.820 2.005
Y 1.178 3.820 8.413
Y 3.637 1.273 1.199
Ho 2.000 1.273 6.019
Ho 2.815 3.820 3.593
```

Properties
The energy of formation is 28 meV per atom.



no.,volume (Å³/atom),calculated density (g/cm³)
1,15.939,5.57
2,26.739,7.69
3,66.461,1.69
4,22.784,10.24
5,21.917,9.37
6,22.549,5.16
7,27.265,8.14
8,17.442,8.30
9,51.132,1.94
10,33.879,3.33
11,38.605,3.76
12,32.758,7.35